1.
Entry from Alexandria: a geometry-optimized ErAlGa2Pt4 structure (PBE-GGA).

Unit cell a=4.3200 b=4.3200 c=8.7758 alpha=75.75 beta=75.75 gamma=60.00
Fractional coordinates of all 8 atoms:
Er1 0.0000 0.0000 0.0000
Pt1 0.4012 0.4012 0.7965
Pt2 0.1351 0.1351 0.5948
Ga1 0.2503 0.2503 0.2492
Ga2 0.7497 0.7497 0.7508
Pt3 0.5988 0.5988 0.2035
Al1 0.5000 0.5000 0.5000
Pt4 0.8649 0.8649 0.4052

Computed properties:
- M_tot (μB per cell) = 0.0
- energy (eV/cell) = -45.978

=====

2.
Entry from Alexandria: a geometry-optimized ErAlGaPt3 structure (PBE-GGA).

Unit cell a=5.5790 b=5.6017 c=8.4781 alpha=109.29 beta=90.00 gamma=90.00
Fractional coordinates of all 12 atoms:
Pt1 0.2500 0.2467 0.4934
Al1 0.2500 0.0938 0.1877
Pt2 0.0000 0.7490 0.0000
Er1 0.7500 0.2969 0.5938
Al2 0.7500 0.9062 0.8123
Pt3 0.5000 0.7490 0.0000
Pt4 0.5000 0.2510 0.0000
Pt5 0.0000 0.2510 0.0000
Ga1 0.7500 0.5990 0.1980
Ga2 0.2500 0.4010 0.8020
Pt6 0.7500 0.7533 0.5066
Er2 0.2500 0.7031 0.4062

Computed properties:
- M_tot (μB per cell) = 0.0
- energy (eV/cell) = -68.752

=====

3.
Entry from Alexandria: a geometry-optimized ErPuAlGa structure (PBE-GGA).

Unit cell a=5.0494 b=5.0494 c=5.0494 alpha=60.00 beta=60.00 gamma=60.00
Site moments in Bohr magnetons follow the coordinates.
Fractional coordinates of all 4 atoms:
Ga1 0.7500 0.7500 0.7500  -0.02
Er1 0.5000 0.5000 0.5000  0.07
Pu1 0.0000 0.0000 0.0000  5.24
Al1 0.2500 0.2500 0.2500  -0.02

Computed properties:
- M_tot (μB per cell) = 5.5
- energy (eV/cell) = -26.961

=====

4.
Entry from Alexandria: a geometry-optimized ErAl2GaRh4 structure (PBE-GGA).

Unit cell a=4.3862 b=4.3862 c=7.7063 alpha=73.47 beta=73.47 gamma=60.00
Fractional coordinates of all 8 atoms:
Rh1 0.1292 0.1292 0.6124
Ga1 0.5000 0.5000 0.5000
Rh2 0.3842 0.3842 0.8475
Rh3 0.8708 0.8708 0.3876
Al1 0.2470 0.2470 0.2590
Rh4 0.6158 0.6158 0.1525
Al2 0.7530 0.7530 0.7410
Er1 0.0000 0.0000 0.0000

Computed properties:
- M_tot (μB per cell) = 0.0
- energy (eV/cell) = -51.838

=====

5.
Entry from Alexandria: a geometry-optimized ErAlGaRu structure (PBE-GGA).

Unit cell a=4.2271 b=4.2271 c=5.4836 alpha=67.33 beta=67.33 gamma=60.00
Fractional coordinates of all 4 atoms:
Er1 0.8079 0.8079 0.5764
Al1 0.5968 0.5968 0.2095
Ru1 0.2995 0.2995 0.1014
Ga1 0.0217 0.0217 0.9350

Computed properties:
- M_tot (μB per cell) = 0.0
- energy (eV/cell) = -22.585

=====

6.
Entry from Alexandria: a geometry-optimized Er2Al2GaRu5 structure (PBE-GGA).

Unit cell a=3.3251 b=9.9500 c=9.9500 alpha=90.00 beta=90.00 gamma=90.00
Site moments in Bohr magnetons follow the coordinates.
Fractional coordinates of all 20 atoms:
Ru1 0.5000 0.5634 0.6948  0.34
Ga1 0.0000 0.0000 0.0000  0.00
Al1 0.0000 0.3707 0.1293  0.00
Ru2 0.5000 0.6948 0.4366  0.34
Al2 0.0000 0.6293 0.8707  0.00
Ru3 0.5000 0.3052 0.5634  0.34
Ru4 0.5000 0.8052 0.9366  0.34
Er1 0.0000 0.6702 0.1702  0.00
Ru5 0.5000 0.5000 0.0000  0.03
Er2 0.0000 0.3298 0.8298  0.00
Ru6 0.5000 0.1948 0.0634  0.34
Al3 0.0000 0.1293 0.6293  0.00
Al4 0.0000 0.8707 0.3707  0.00
Ru7 0.5000 0.9366 0.1948  0.34
Ru8 0.5000 0.4366 0.3052  0.34
Ga2 0.0000 0.5000 0.5000  0.00
Er3 0.0000 0.8298 0.6702  0.00
Ru9 0.5000 0.0000 0.5000  0.03
Er4 0.0000 0.1702 0.3298  0.00
Ru10 0.5000 0.0634 0.8052  0.34

Computed properties:
- M_tot (μB per cell) = 2.9
- energy (eV/cell) = -140.021

=====

DOS(E_F) in states/eV per atom, matching the order above: 0.26 0.24 1.67 0.18 0.53 0.98
Density in g/cm³, matching the order above: 13.6 11.3 9.3 9.6 8.0 9.7